A plane-wave DFT calculation with PBE was carried out for crystalline TaCdSeBr2 at its relaxed geometry.

## Properties
The total magnetization is 0.00 μB per atom. Its calculated volume is 137.92 Å³ per cell. As for the energy above the lowest structure with this stoichiometry: 0.0 meV/atom. For the density of states at the Fermi level, the calculation gives 2.615 states/eV/f.u.

a b c (Å): 5.2398 5.2398 5.0234
angles (deg): 90.00 90.00 90.00
Atoms (fractional coordinates):
Ta 0.0000 0.0000 0.0000
Cd 0.5000 0.5000 0.5000
Se 0.0000 0.0000 0.5000
Br 0.0000 0.5000 0.0000
Br 0.5000 0.0000 0.0000